No. 1
12
Lattice="-3.868 4.773 3.064 1.937 -5.586 3.489 6.862 3.850 0.097" Properties=species:S:1:pos:R:3 comment="PBE Ce2Tl3VS6, optimized geometry" formation_energy_uncorrected_mev_per_atom=-1140 sg="C2/m (12)" dos_at_fermi_per_ev_atom=0.7290 pbc="T T T"
S 0.005 2.152 1.381
S 3.143 4.064 5.138
S 4.925 0.885 5.269
S -0.093 0.153 4.992
S 5.024 2.884 1.658
S 1.788 -1.028 1.512
Tl 2.465 1.518 3.325
Tl 4.374 -1.888 3.465
Tl 0.557 4.924 3.185
Ce 0.000 -2.129 3.347
Ce -1.931 1.315 3.206
V 0.000 0.000 0.000

No. 2
10
Lattice="6.931 -0.315 0.364 -0.391 6.350 0.075 3.539 3.031 5.147" Properties=species:S:1:pos:R:3 comment="PBE Ac2NpAlRh6, optimized geometry" sg="P-1 (2)" formation_enthalpy_0k_ev_per_atom=-0.481 dos_at_fermi_per_ev_atom=0.9896 pbc="T T T"
Ac 6.772 3.304 2.500
Ac 3.308 5.763 3.087
Rh 2.160 0.948 0.874
Rh 4.960 1.140 0.770
Rh 3.589 2.496 2.727
Rh 7.919 8.118 4.713
Rh 5.120 7.926 4.817
Rh 6.491 6.570 2.860
Al 0.000 0.000 0.000
Np 3.270 3.017 0.220

No. 3
4
Lattice="-2.973 -1.703 -0.780 -1.062 -2.686 2.000 -5.379 3.506 4.937" Properties=species:S:1:pos:R:3 comment="PBE Y2CoC, optimized geometry" sg="R-3m (166)" formation_enthalpy_0k_ev_per_atom=0.349 dos_at_fermi_per_ev_atom=0.5131 pbc="T T T"
Y -4.062 1.884 3.458
Y -5.352 -2.767 2.699
C -4.707 -0.442 3.079
Co 0.000 0.000 0.000

No. 4
18
Lattice="6.413 0.000 2.926 2.380 7.445 3.273 0.007 0.019 8.474" Properties=species:S:1:pos:R:3 comment="PBE HoHfPt, optimized geometry" sg="Amm2 (38)" formation_enthalpy_0k_ev_per_atom=-0.871 dos_at_fermi_per_ev_atom=0.5723 pbc="T T T"
Hf 1.240 3.732 5.895
Hf 3.506 0.947 2.951
Hf 0.046 0.000 0.021
Hf 4.699 4.679 8.825
Hf 6.914 6.518 12.460
Hf 5.720 2.785 6.587
Pt 0.950 1.245 2.212
Pt 2.144 4.978 8.085
Pt 5.435 1.876 9.380
Pt 6.621 5.588 6.779
Pt 4.681 6.219 11.015
Pt 3.487 2.486 5.142
Ho 3.971 5.589 5.569
Ho 1.174 0.335 5.236
Ho 7.112 7.129 9.202
Ho 2.362 4.048 2.636
Ho 5.926 3.416 11.803
Ho 2.784 1.876 8.170

No. 5
4
Lattice="0.000 3.390 3.390 3.390 0.000 3.390 3.390 3.390 0.000" Properties=species:S:1:pos:R:3 comment="PBE BaRu2Pt, optimized geometry" sg="Fm-3m (225)" formation_enthalpy_0k_ev_per_atom=0.869 relative_energy_mev_per_atom=762 dos_at_fermi_per_ev_atom=1.0721 pbc="T T T"
Ru 1.695 1.695 1.695
Ru 5.085 5.085 5.085
Ba 0.000 0.000 0.000
Pt 3.390 3.390 3.390

No. 6
5
Lattice="-1.089 -4.690 -0.150 2.780 -0.521 -3.900 3.739 -0.958 2.793" Properties=species:S:1:pos:R:3 comment="PBE BeAlAsBr2, optimized geometry" formation_energy_uncorrected_mev_per_atom=190 sg="P4/mmm (123)" relative_energy_mev_per_atom=0 dos_at_fermi_per_ev_atom=0.5808 pbc="T T T"
Be 0.000 0.000 0.000
As 1.870 -0.479 1.397
Al 2.715 -3.084 -0.628
Br -0.545 -2.345 -0.075
Br 1.390 -0.260 -1.950

No. 7
14
Lattice="-1.870 -6.679 -1.897 3.028 3.969 -7.875 6.663 -1.111 6.428" Properties=species:S:1:pos:R:3 comment="PBE Sr4Tl3, optimized geometry" sg="R-3 (148)" formation_enthalpy_0k_ev_per_atom=-0.350 relative_energy_mev_per_atom=0 dos_at_fermi_per_ev_atom=0.7218 pbc="T T T"
Sr 4.214 1.546 -5.137
Sr -0.935 -3.339 -0.948
Sr 3.995 -3.963 -3.696
Sr 6.133 -2.987 0.007
Sr 3.825 0.142 0.352
Sr 0.000 0.000 0.000
Sr 3.606 -5.367 1.793
Sr 1.687 -0.834 -3.352
Tl 4.737 -2.132 3.165
Tl 0.459 -4.266 -3.933
Tl 3.083 -1.689 -6.510
Tl 2.453 -3.003 -0.602
Tl 7.361 0.445 0.588
Tl 5.368 -0.818 -2.743

No. 8
9
Lattice="4.546 0.000 0.000 -2.273 5.035 -1.807 0.000 -0.679 8.572" Properties=species:S:1:pos:R:3 comment="PBE Tm3Ga4Hg2, optimized geometry" sg="C2/m (12)" formation_enthalpy_0k_ev_per_atom=-0.490 dos_at_fermi_per_ev_atom=0.6069 pbc="T T T"
Hg 2.273 1.020 1.993
Hg 0.000 3.336 4.772
Ga 2.273 2.385 -0.310
Ga 0.000 1.971 7.076
Ga 0.000 0.177 3.114
Ga 2.273 4.179 3.652
Tm 2.273 1.190 5.148
Tm 0.000 3.166 1.617
Tm 0.000 0.000 0.000

No. 9
5
Lattice="5.245 0.000 0.000 0.000 5.245 0.000 0.000 0.000 5.259" Properties=species:S:1:pos:R:3 comment="PBE AgTeSCl2, optimized geometry" formation_energy_uncorrected_mev_per_atom=135 sg="P4/mmm (123)" relative_energy_mev_per_atom=0 dos_at_fermi_per_ev_atom=0.1852 pbc="T T T"
S 0.000 0.000 2.630
Cl 2.623 0.000 0.000
Cl 0.000 2.623 0.000
Te 0.000 0.000 0.000
Ag 2.623 2.623 2.630

No. 10
17
Lattice="7.718 0.000 0.000 -2.573 7.276 0.000 -2.573 -3.638 6.302" Properties=species:S:1:pos:R:3 comment="PBE SrAl12Ni4, optimized geometry" sg="Im-3 (204)" formation_enthalpy_0k_ev_per_atom=-0.130 dos_at_fermi_per_ev_atom=0.3599 pbc="T T T"
Al 0.337 3.192 1.568
Al -2.248 1.590 5.888
Al 2.248 5.894 1.568
Al 2.897 0.666 1.981
Al 2.235 0.446 4.734
Al -2.235 4.323 1.981
Al -0.325 2.972 4.321
Al 2.910 3.400 2.753
Al 4.808 -0.685 4.321
Al -0.337 0.239 3.548
Al 0.325 -2.256 4.734
Al 4.821 2.049 0.413
Ni -1.286 3.638 0.000
Ni 3.859 0.000 0.000
Ni -1.286 -1.819 3.151
Ni 1.286 1.819 3.151
Sr 0.000 0.000 0.000